Entry 1:
The following is a DFT calculation (PBE) of a geometry-optimized Y4AsAuSe2 structure.

Unit cell a=7.1560 b=4.0732 c=7.2213 alpha=90.00 beta=108.65 gamma=90.00
Last column: nearest neighbours and their distance in Å.
Sites, in units of the cell vectors:
Y1 0.2429 0.0000 0.2438  2 As 2.88, 3 Se 2.92-2.96, 1 Au 2.93
Y2 0.2471 0.5000 0.7509  1 As 2.90, 3 Se 2.92-2.94, 2 Au 2.93
Y3 0.7529 0.5000 0.2491  1 As 2.90, 3 Se 2.92-2.94, 2 Au 2.93
Y4 0.7571 0.0000 0.7562  2 As 2.88, 3 Se 2.92-2.96, 1 Au 2.93
As1 0.0000 0.5000 0.0000  6 Y 2.88-2.90
Au1 0.5000 0.0000 0.0000  6 Y 2.93
Se1 0.0000 0.0000 0.5000  6 Y 2.92
Se2 0.5000 0.5000 0.5000  6 Y 2.94-2.96

Summary:
E_form (uncorrected): -11.82 eV per formula unit
mass density: 6.5 Mg/m³
Fermi-level density of states: 0.54 states/eV/atom

---

Entry 2:
The following is a DFT calculation (PBE) of a geometry-optimized UCl4 structure.

Unit cell a=5.3209 b=5.3209 c=5.3209 alpha=90.00 beta=90.00 gamma=90.00
Last column: nearest neighbours and their distance in Å.
Sites, in units of the cell vectors:
U1 0.0000 0.0000 0.0000  6 Cl 2.66
Cl1 0.0000 0.0000 0.5000  2 U 2.66
Cl2 0.0000 0.5000 0.0000  2 U 2.66
Cl3 0.5000 0.0000 0.0000  2 U 2.66
Cl4 0.5000 0.5000 0.5000  12 Cl 3.76

Summary:
E_form (uncorrected): -6.24 eV per formula unit
mass density: 4.2 Mg/m³
Fermi-level density of states: 2.31 states/eV/atom

---

Entry 3:
The following is a DFT calculation (PBE) of a geometry-optimized ZnNi2Pb2 structure.

Unit cell a=6.7758 b=6.7758 c=4.0125 alpha=90.00 beta=90.00 gamma=90.00
Last column: nearest neighbours and their distance in Å.
Sites, in units of the cell vectors:
Zn1 0.0000 0.0000 0.0000  4 Ni 2.63
Zn2 0.5000 0.5000 0.0000  4 Ni 2.63
Ni1 0.1368 0.3632 0.0000  1 Ni 2.62, 2 Zn 2.63, 6 Pb 2.73-2.89
Ni2 0.3632 0.8632 0.0000  1 Ni 2.62, 2 Zn 2.63, 6 Pb 2.73-2.89
Ni3 0.6368 0.1368 0.0000  1 Ni 2.62, 2 Zn 2.63, 6 Pb 2.73-2.89
Ni4 0.8632 0.6368 0.0000  1 Ni 2.62, 2 Zn 2.63, 6 Pb 2.73-2.89
Pb1 0.1695 0.6695 0.5000  6 Ni 2.73-2.89
Pb2 0.3305 0.1695 0.5000  6 Ni 2.73-2.89
Pb3 0.6695 0.8305 0.5000  6 Ni 2.73-2.89
Pb4 0.8305 0.3305 0.5000  6 Ni 2.73-2.89

Summary:
polymorph energy (0 for the lowest one): 0 meV per atom
ΔE_f: 72 kJ/mol of formula units
mass density: 10.8 Mg/m³
Fermi-level density of states: 0.63 states/eV/atom

---

Entry 4:
The following is a DFT calculation (PBE) of a geometry-optimized NdHo2Rh structure.

Unit cell a=7.2043 b=9.4943 c=6.4181 alpha=90.00 beta=90.00 gamma=90.00
Last column: nearest neighbours and their distance in Å.
Sites, in units of the cell vectors:
Nd1 0.0341 0.2500 0.1369  2 Rh 2.85-3.00
Nd2 0.4659 0.7500 0.6369  2 Rh 2.85-3.00
Nd3 0.5341 0.2500 0.3631  2 Rh 2.85-3.00
Nd4 0.9659 0.7500 0.8631  2 Rh 2.85-3.00
Ho1 0.1759 0.0649 0.6693  2 Rh 2.82-2.84
Ho2 0.1759 0.4351 0.6693  2 Rh 2.82-2.84
Ho3 0.3241 0.5649 0.1693  2 Rh 2.82-2.84
Ho4 0.3241 0.9351 0.1693  2 Rh 2.82-2.84
Ho5 0.6759 0.0649 0.8307  2 Rh 2.82-2.84
Ho6 0.6759 0.4351 0.8307  2 Rh 2.82-2.84
Ho7 0.8241 0.5649 0.3307  2 Rh 2.82-2.84
Ho8 0.8241 0.9351 0.3307  2 Rh 2.82-2.84
Rh1 0.1173 0.7500 0.4285  4 Ho 2.82-2.84, 2 Nd 2.85-3.00
Rh2 0.3827 0.2500 0.9285  4 Ho 2.82-2.84, 2 Nd 2.85-3.00
Rh3 0.6173 0.7500 0.0715  4 Ho 2.82-2.84, 2 Nd 2.85-3.00
Rh4 0.8827 0.2500 0.5715  4 Ho 2.82-2.84, 2 Nd 2.85-3.00

Summary:
polymorph energy (0 for the lowest one): 0 meV per atom
ΔE_f: -194 kJ/mol of formula units
mass density: 8.7 Mg/m³
Fermi-level density of states: 1.12 states/eV/atom

---

Entry 5:
The following is a DFT calculation (PBE) of a geometry-optimized SmTcI structure.

Unit cell a=4.1434 b=4.1434 c=13.0338 alpha=99.30 beta=99.30 gamma=60.00
Last column: nearest neighbours and their distance in Å.
Sites, in units of the cell vectors:
Sm1 0.0583 0.0583 0.1717  6 Tc 3.12-3.38, 3 I 3.22
Sm2 0.9417 0.9417 0.8283  6 Tc 3.12-3.38, 3 I 3.22
Tc1 0.3385 0.3385 0.0153  3 Tc 2.42
Tc2 0.6615 0.6615 0.9847  3 Tc 2.42
I1 0.2180 0.2180 0.6599  3 Sm 3.22
I2 0.7820 0.7820 0.3402  3 Sm 3.22

Summary:
E_form (uncorrected): -2.11 eV per formula unit
mass density: 6.5 Mg/m³
Fermi-level density of states: 0.59 states/eV/atom

---

Entry 6:
The following is a DFT calculation (PBE) of a geometry-optimized POs3Rh structure.

Unit cell a=4.6589 b=4.6589 c=4.6589 alpha=90.00 beta=90.00 gamma=90.00
Last column: nearest neighbours and their distance in Å.
Sites, in units of the cell vectors:
P1 0.0000 0.0000 0.0000  12 Os 3.29
Os1 0.0000 0.5000 0.5000  2 Rh 2.33
Os2 0.5000 0.0000 0.5000  2 Rh 2.33
Os3 0.5000 0.5000 0.0000  2 Rh 2.33
Rh1 0.5000 0.5000 0.5000  6 Os 2.33

Summary:
polymorph energy (0 for the lowest one): 1657 meV per atom
ΔE_f: 1301 kJ/mol of formula units
mass density: 11.6 Mg/m³
Fermi-level density of states: 1.39 states/eV/atom

---

Entry 7:
The following is a DFT calculation (PBE) of a geometry-optimized CaAcAu2O8 structure.

Unit cell a=6.1286 b=6.1286 c=6.1286 alpha=119.66 beta=119.66 gamma=90.59
Last column: nearest neighbours and their distance in Å.
Sites, in units of the cell vectors:
Ca1 0.0000 0.0000 0.0000  8 O 2.38-2.60
Ac1 0.2500 0.7500 0.5000  4 O 2.47
Au1 0.5000 0.5000 0.0000  4 O 2.01
Au2 0.7500 0.2500 0.5000  4 O 2.00
O1 0.2680 0.3143 0.5426  1 Au 2.01, 1 O 2.18
O2 0.2746 0.7320 0.0463  1 Au 2.01, 1 O 2.18
O3 0.4506 0.0516 0.0565  1 Au 2.00, 1 O 2.18
O4 0.6058 0.5494 0.6010  1 Au 2.00, 1 O 2.18
O5 0.6857 0.2283 0.9537  1 Au 2.01, 1 O 2.18
O6 0.7717 0.7254 0.4574  1 Au 2.01, 1 O 2.18
O7 0.9484 0.0048 0.3990  1 Au 2.00, 1 O 2.18
O8 0.9952 0.3942 0.9435  1 Au 2.00, 1 O 2.18

Summary:
E_form (uncorrected): -10.77 eV per formula unit
mass density: 8.0 Mg/m³
Fermi-level density of states: 0.33 states/eV/atom

---

Entry 8:
The following is a DFT calculation (PBE) of a geometry-optimized Ba2AcTc2N6 structure.

Unit cell a=6.3666 b=6.3666 c=7.4679 alpha=118.23 beta=118.23 gamma=59.35
Last column: nearest neighbours and their distance in Å.
Sites, in units of the cell vectors:
Ba1 0.2128 0.2128 0.1824  5 N 2.85-3.07
Ba2 0.7872 0.7872 0.8176  5 N 2.85-3.07
Ac1 0.0000 0.0000 0.5000  6 N 2.56-2.65
Tc1 0.4696 0.4696 0.8063  3 N 1.79-1.81
Tc2 0.5304 0.5304 0.1937  3 N 1.79-1.81
N1 0.2042 0.6750 0.2027  1 Tc 1.81
N2 0.2775 0.2775 0.6373  1 Tc 1.79
N3 0.3250 0.7958 0.7973  1 Tc 1.81
N4 0.6750 0.2042 0.2027  1 Tc 1.81
N5 0.7225 0.7225 0.3627  1 Tc 1.79
N6 0.7958 0.3250 0.7973  1 Tc 1.81

Summary:
E_form (uncorrected): -6.71 eV per formula unit
mass density: 5.9 Mg/m³
Fermi-level density of states: 0.46 states/eV/atom

---

no.,raw total energy (eV/atom),total moment (μB per cell)
1,-6.571,0.000
2,-4.983,1.963
3,-3.901,0.000
4,-5.822,0.000
5,-6.247,0.000
6,-6.594,0.000
7,-5.258,0.000
8,-7.759,0.001